No. 1
# LaPr2CuS5 (PBE-GGA, relaxed)
data_LaPr2CuS5
_cell_length_a 3.9854
_cell_length_b 18.0301
_cell_length_c 11.5626
_cell_angle_alpha 90.00
_cell_angle_beta 90.00
_cell_angle_gamma 90.00
_space_group_name_H-M_alt 'C m c 21'
_space_group_IT_number 36
_space_group_name_Hall 'C 2c -2'
loop_
_atom_site_label
_atom_site_fract_x
_atom_site_fract_y
_atom_site_fract_z
_atom_site_occupancy
La1 0.0000 0.1974 0.0000 1
Pr1 0.0000 0.0993 0.6743 1
Pr2 0.0000 0.1128 0.3020 1
Cu1 0.0000 0.4410 0.4431 1
S1 0.0000 0.0447 0.0482 1
S2 0.0000 0.2960 0.6790 1
S3 0.0000 0.3276 0.3301 1
S4 0.0000 0.3602 0.9937 1
S5 0.0000 0.4978 0.7692 1
# **Total magnetic moment**: 0.00 μB/f.u.
# **E_form (uncorrected)**: -1.738 eV/atom



No. 2
# LaPrCuSb (PBE-GGA, relaxed)
data_LaPrCuSb
_cell_length_a 7.5943
_cell_length_b 7.5943
_cell_length_c 7.5943
_cell_angle_alpha 90.00
_cell_angle_beta 90.00
_cell_angle_gamma 90.00
_space_group_name_H-M_alt 'F -4 3 m'
_space_group_IT_number 216
_space_group_name_Hall 'F -4 2 3'
loop_
_atom_site_label
_atom_site_fract_x
_atom_site_fract_y
_atom_site_fract_z
_atom_site_occupancy
La1 0.0000 0.0000 0.0000 1
Pr1 0.0000 0.0000 0.5000 1
Cu1 0.2500 0.2500 0.2500 1
Sb1 0.2500 0.2500 0.7500 1
# **Total magnetic moment**: 0.00 μB/f.u.
# **E_form (uncorrected)**: -0.540 eV/atom



No. 3
# LaPr2CuSe5 (PBE-GGA, relaxed)
data_LaPr2CuSe5
_cell_length_a 4.1454
_cell_length_b 18.5332
_cell_length_c 12.1725
_cell_angle_alpha 90.00
_cell_angle_beta 90.00
_cell_angle_gamma 90.00
_space_group_name_H-M_alt 'C m c 21'
_space_group_IT_number 36
_space_group_name_Hall 'C 2c -2'
loop_
_atom_site_label
_atom_site_fract_x
_atom_site_fract_y
_atom_site_fract_z
_atom_site_occupancy
La1 0.0000 0.1959 0.0000 1
Pr1 0.0000 0.1032 0.6737 1
Pr2 0.0000 0.1151 0.3005 1
Cu1 0.0000 0.4368 0.4439 1
Se1 0.0000 0.0429 0.0502 1
Se2 0.0000 0.2927 0.6766 1
Se3 0.0000 0.3231 0.3288 1
Se4 0.0000 0.3606 0.9918 1
Se5 0.0000 0.4990 0.7695 1
# **Total magnetic moment**: 0.00 μB/f.u.
# **E_form (uncorrected)**: -1.603 eV/atom



No. 4
# LaPrCu2Se4 (PBE-GGA, relaxed)
data_LaPrCu2Se4
_cell_length_a 6.9866
_cell_length_b 7.0720
_cell_length_c 7.9246
_cell_angle_alpha 90.00
_cell_angle_beta 90.00
_cell_angle_gamma 90.00
_space_group_name_H-M_alt 'I 2 2 2'
_space_group_IT_number 23
_space_group_name_Hall 'I 2 2'
loop_
_atom_site_label
_atom_site_fract_x
_atom_site_fract_y
_atom_site_fract_z
_atom_site_occupancy
La1 0.0000 0.0000 0.0000 1
Pr1 0.0000 0.0000 0.5000 1
Cu1 0.0000 0.5000 0.1626 1
Se1 0.2373 0.2716 0.7870 1
# **Total magnetic moment**: 0.00 μB/f.u.
# **E_form (uncorrected)**: -1.142 eV/atom



No. 5
# La2PrCu2Si2 (PBE-GGA, relaxed)
data_La2PrCu2Si2
_cell_length_a 4.2595
_cell_length_b 4.2595
_cell_length_c 29.4331
_cell_angle_alpha 90.00
_cell_angle_beta 90.00
_cell_angle_gamma 120.00
_space_group_name_H-M_alt 'R -3 m'
_space_group_IT_number 166
_space_group_name_Hall '-R 3 2"'
loop_
_atom_site_label
_atom_site_fract_x
_atom_site_fract_y
_atom_site_fract_z
_atom_site_occupancy
La1 0.0000 0.0000 0.1326 1
Pr1 0.0000 0.0000 0.0000 1
Cu1 0.0000 0.0000 0.4030 1
Si1 0.0000 0.0000 0.2638 1
# **Total magnetic moment**: 0.00 μB/f.u.
# **E_form (uncorrected)**: -0.478 eV/atom



No. 6
# LaPr2Cu2Si2 (PBE-GGA, relaxed)
data_LaPr2Cu2Si2
_cell_length_a 4.2758
_cell_length_b 4.2758
_cell_length_c 30.7241
_cell_angle_alpha 90.00
_cell_angle_beta 90.00
_cell_angle_gamma 120.00
_space_group_name_H-M_alt 'R -3 m'
_space_group_IT_number 166
_space_group_name_Hall '-R 3 2"'
loop_
_atom_site_label
_atom_site_fract_x
_atom_site_fract_y
_atom_site_fract_z
_atom_site_occupancy
La1 0.0000 0.0000 0.0000 1
Pr1 0.0000 0.0000 0.1259 1
Cu1 0.0000 0.0000 0.4012 1
Si1 0.0000 0.0000 0.2656 1
# **Total magnetic moment**: 0.00 μB/f.u.
# **E_form (uncorrected)**: -0.461 eV/atom